LiLaMo2Ir: relaxed, PBEsol.

Structure (POSCAR):
```
LiLaMo2Ir
1.0
4.669 0.000 0.000
0.000 4.669 0.000
0.000 0.000 4.313
Li La Mo Ir
1 1 2 1
Direct
0.000 0.000 0.000 Li
0.000 0.000 0.500 La
0.000 0.500 0.500 Mo
0.500 0.000 0.500 Mo
0.500 0.500 0.000 Ir
```

Calculated values
Energy relative to the elements, eV per atom: 2.032
SG: No. 123